# Na2CuHgCl6 PBE optimized geometry
data_Na2CuHgCl6
_cell_length_a 6.676
_cell_length_b 6.882
_cell_length_c 7.152
_cell_angle_alpha 68.56
_cell_angle_beta 63.78
_cell_angle_gamma 65.64
_space_group_name_H-M_alt 'P 1'
_space_group_IT_number 1
loop_
_space_group_symop_operation_xyz
'x,y,z'
loop_
_atom_site_label
_atom_site_type_symbol
_atom_site_fract_x
_atom_site_fract_y
_atom_site_fract_z
Na1 Na 0.000 0.000 0.000
Na2 Na 0.453 0.546 0.528
Cu1 Cu 0.671 0.687 0.949
Hg1 Hg 0.171 0.221 0.413
Cl1 Cl 0.316 0.620 0.163
Cl2 Cl 0.383 0.127 0.647
Cl3 Cl 0.590 0.895 0.181
Cl4 Cl 0.750 0.449 0.753
Cl5 Cl 0.916 0.299 0.227
Cl6 Cl 0.997 0.798 0.724
# E_form (uncorrected)   -1.024 eV per atom
# Raw total energy   -0.1042 Ha/atom

# NaCu2HgCl6 PBE optimized geometry
data_NaCu2HgCl6
_cell_length_a 12.807
_cell_length_b 12.249
_cell_length_c 6.728
_cell_angle_alpha 90.00
_cell_angle_beta 103.71
_cell_angle_gamma 90.00
_space_group_name_H-M_alt 'C 1 2/c 1'
_space_group_IT_number 15
loop_
_space_group_symop_operation_xyz
'x,y,z'
'-x,-y,-z'
'-x,y,-z+1/2'
'x,-y,z+1/2'
'x+1/2,y+1/2,z'
'-x+1/2,-y+1/2,-z'
'-x+1/2,y+1/2,-z+1/2'
'x+1/2,-y+1/2,z+1/2'
loop_
_atom_site_label
_atom_site_type_symbol
_atom_site_fract_x
_atom_site_fract_y
_atom_site_fract_z
Na1 Na 0.000 0.091 0.250
Cu1 Cu 0.195 0.426 0.278
Hg1 Hg 0.000 0.270 0.750
Cl1 Cl 0.116 0.270 0.100
Cl2 Cl 0.122 0.088 0.646
Cl3 Cl 0.144 0.424 0.579
# DOS(E_F)   0.82 states/eV/atom
# E_form (uncorrected)   -0.774 eV per atom
# Raw total energy   -0.1052 Ha/atom

# NaCuHg2Cl6 PBE optimized geometry
data_NaCuHg2Cl6
_cell_length_a 13.005
_cell_length_b 13.888
_cell_length_c 6.908
_cell_angle_alpha 90.00
_cell_angle_beta 112.01
_cell_angle_gamma 90.00
_space_group_name_H-M_alt 'C 1 2/c 1'
_space_group_IT_number 15
loop_
_space_group_symop_operation_xyz
'x,y,z'
'-x,-y,-z'
'-x,y,-z+1/2'
'x,-y,z+1/2'
'x+1/2,y+1/2,z'
'-x+1/2,-y+1/2,-z'
'-x+1/2,y+1/2,-z+1/2'
'x+1/2,-y+1/2,z+1/2'
loop_
_atom_site_label
_atom_site_type_symbol
_atom_site_fract_x
_atom_site_fract_y
_atom_site_fract_z
Na1 Na 0.000 0.085 0.250
Cu1 Cu 0.000 0.175 0.750
Hg1 Hg 0.151 0.410 0.141
Cl1 Cl 0.110 0.239 0.070
Cl2 Cl 0.122 0.076 0.670
Cl3 Cl 0.127 0.421 0.537
# E_form (uncorrected)   -0.785 eV per atom
# Raw total energy   -0.0917 Ha/atom